# Cs5HgAu4

A geometry-optimized Cs5HgAu4 structure (GGA-PBE, Alexandria).

Output
ρ   6.39 g cm⁻³
Magnetic moment   0.00 μB/f.u.
DFT formation energy   -29.2 kJ/mol of atoms
Crystal system   tetragonal
Space-group type   P4/mmm

Geometry as extended XYZ:
```
10
Lattice="4.398 0.000 0.000 0.000 4.398 0.000 0.000 0.000 22.216" Properties=species:S:1:pos:R:3 pbc="T T T"
Au 0.000 0.000 13.292
Au 0.000 0.000 17.697
Au 0.000 0.000 8.924
Au 0.000 0.000 4.518
Cs 2.199 2.199 2.554
Cs 2.199 2.199 15.413
Cs 2.199 2.199 19.662
Cs 2.199 2.199 11.108
Cs 2.199 2.199 6.803
Hg 0.000 0.000 0.000
```